The following is a DFT calculation (PBE) of Er3ScCu4 after structural relaxation.

a = 3.373 Å, b = 4.820 Å, c = 9.610 Å
α = 90.00°, β = 90.00°, γ = 90.00°
Sites, in units of the cell vectors:
Er: 0.000 0.000 0.000
Er: 0.000 0.500 0.254
Er: 0.000 0.500 0.746
Sc: 0.000 0.000 0.500
Cu: 0.500 0.000 0.261
Cu: 0.500 0.000 0.739
Cu: 0.500 0.500 0.000
Cu: 0.500 0.500 0.500

calculated volume: 156.23 Å³/cell
energy of formation from the pure elements: -0.268 eV per atom
Fermi-level density of states: 0.5458 states/eV per atom